(1)
This record from Alexandria via LeMat-Bulk describes an optimized crystal structure of NdGdCdBi. The functional is PBE.

a = 5.489 Å, b = 5.489 Å, c = 5.489 Å
α = 60.00°, β = 60.00°, γ = 60.00°
Atoms (fractional coordinates):
Nd 0.000 0.000 0.000
Gd 0.500 0.500 0.500
Cd 0.250 0.250 0.250
Bi 0.750 0.750 0.750

Summary:
- energy of formation from the pure elements (meV per atom) = -478

***

(2)
This record from Alexandria via LeMat-Bulk describes an optimized crystal structure of GdCdBiPb. The functional is PBE.

a = 5.502 Å, b = 5.502 Å, c = 5.502 Å
α = 60.00°, β = 60.00°, γ = 60.00°
Atoms (fractional coordinates):
Gd 0.000 0.000 0.000
Cd 0.250 0.250 0.250
Bi 0.750 0.750 0.750
Pb 0.500 0.500 0.500

Summary:
- energy of formation from the pure elements (meV per atom) = -214

***

(3)
This record from Alexandria via LeMat-Bulk describes an optimized crystal structure of GdCdBiPd. The functional is PBE.

a = 5.123 Å, b = 5.123 Å, c = 5.123 Å
α = 60.00°, β = 60.00°, γ = 60.00°
Atoms (fractional coordinates):
Gd 0.000 0.000 0.000
Cd 0.750 0.750 0.750
Bi 0.500 0.500 0.500
Pd 0.250 0.250 0.250

Summary:
- energy of formation from the pure elements (meV per atom) = -437

***

(4)
This record from Alexandria via LeMat-Bulk describes an optimized crystal structure of PmGdCdBi. The functional is PBE.

a = 5.472 Å, b = 5.472 Å, c = 5.472 Å
α = 60.00°, β = 60.00°, γ = 60.00°
Atoms (fractional coordinates):
Pm 0.000 0.000 0.000
Gd 0.500 0.500 0.500
Cd 0.250 0.250 0.250
Bi 0.750 0.750 0.750

Summary:
- energy of formation from the pure elements (meV per atom) = -474

***

(5)
This record from Alexandria via LeMat-Bulk describes an optimized crystal structure of SrGdCdBi. The functional is PBE.

a = 5.625 Å, b = 5.625 Å, c = 5.625 Å
α = 60.00°, β = 60.00°, γ = 60.00°
Atoms (fractional coordinates):
Sr 0.000 0.000 0.000
Gd 0.500 0.500 0.500
Cd 0.250 0.250 0.250
Bi 0.750 0.750 0.750

Summary:
- energy of formation from the pure elements (meV per atom) = -465

***

(6)
This record from Alexandria via LeMat-Bulk describes an optimized crystal structure of TbGdCdBi. The functional is PBE.

a = 5.426 Å, b = 5.426 Å, c = 5.426 Å
α = 60.00°, β = 60.00°, γ = 60.00°
Atoms (fractional coordinates):
Tb 0.000 0.000 0.000
Gd 0.500 0.500 0.500
Cd 0.750 0.750 0.750
Bi 0.250 0.250 0.250

Summary:
- energy of formation from the pure elements (meV per atom) = -451

***

Ordered total DFT energy (no corrections) results: -6.389 -5.861 -6.454 -6.381 -5.605 -6.327; unit eV/atom.
Ordered calculated density results: 8.84 9.67 10.22 8.94 7.47 9.37; unit g cm⁻³.